Entry from the Alexandria database: POsCS after structural relaxation (PBE-GGA).

a b c (Å): 15.3153 2.8024 3.5360
angles (deg): 90.00 91.83 90.00
Last column: nearest neighbours and their distance in Å.
Sites, in units of the cell vectors:
1 P 0.0000 0.0000 0.0000  4 Os 2.39
2 P 0.5000 0.5000 0.0000  4 Os 2.39
3 Os 0.0522 0.5000 0.5071  1 C 1.93
4 Os 0.5522 0.0000 0.5071  1 C 1.93
5 C 0.1782 0.5000 0.5251  2 S 1.76, 1 Os 1.93
6 C 0.6782 0.0000 0.5251  2 S 1.76, 1 Os 1.93
7 S 0.2477 0.0000 0.5351  2 C 1.76
8 S 0.7477 0.5000 0.5351  2 C 1.76

The space group is Cm. The calculation puts the total moment at 0.00 μB/cell. Its total energy is -7.03 eV/atom. Its offset from the most stable computed form is 57 kJ/mol of formula units. For the formation energy from raw total energies, the calculation gives 0.469 eV/atom.


Entry from the Alexandria database: Ac2PrHoTe6 after structural relaxation (PBE-GGA).

a b c (Å): 8.5622 8.5622 8.5622
angles (deg): 56.94 56.94 56.94
Last column: nearest neighbours and their distance in Å.
Sites, in units of the cell vectors:
1 Ac 0.0000 0.0000 0.0000  6 Te 3.32-3.37
2 Ac 0.4986 0.4986 0.4986  6 Te 3.31-3.38
3 Pr 0.2982 0.2982 0.2982  6 Te 3.16-3.22
4 Ho 0.7999 0.7999 0.7999  6 Te 3.06-3.10
5 Te 0.0685 0.4309 0.6787  1 Ho 3.06, 1 Pr 3.22, 2 Ac 3.32-3.38
6 Te 0.1707 0.9193 0.5810  1 Ho 3.10, 1 Pr 3.16, 2 Ac 3.31-3.37
7 Te 0.4309 0.6787 0.0685  1 Ho 3.06, 1 Pr 3.22, 2 Ac 3.32-3.38
8 Te 0.5810 0.1707 0.9193  1 Ho 3.10, 1 Pr 3.16, 2 Ac 3.31-3.37
9 Te 0.6787 0.0685 0.4309  1 Ho 3.06, 1 Pr 3.22, 2 Ac 3.32-3.38
10 Te 0.9193 0.5810 0.1707  1 Ho 3.10, 1 Pr 3.16, 2 Ac 3.31-3.37

The space group is R3. The calculation puts the total moment at 0.00 μB/cell. Its total energy is -5.09 eV/atom. For the formation energy from raw total energies, the calculation gives -1.445 eV/atom.


Entry from the Alexandria database: KCd3In4Cl12 after structural relaxation (PBE-GGA).

a b c (Å): 9.2856 9.2856 9.2856
angles (deg): 109.47 109.47 109.47
Last column: nearest neighbours and their distance in Å.
Sites, in units of the cell vectors:
1 K 0.0000 0.0000 0.0000  6 Cl 2.88
2 Cd 0.0000 0.5000 0.5000  6 Cl 2.48-2.68
3 Cd 0.5000 0.0000 0.5000  6 Cl 2.48-2.68
4 Cd 0.5000 0.5000 0.0000  6 Cl 2.48-2.68
5 In 0.0000 0.0000 0.5000  12 Cl 3.79-3.80
6 In 0.0000 0.5000 0.0000  12 Cl 3.79-3.80
7 In 0.5000 0.0000 0.0000  12 Cl 3.79-3.80
8 In 0.5000 0.5000 0.5000  12 Cl 3.79-3.80
9 Cl 0.0000 0.2684 0.2684  1 Cd 2.48
10 Cl 0.0000 0.7316 0.7316  1 Cd 2.48
11 Cl 0.2500 0.5000 0.7500  2 Cd 2.68
12 Cl 0.2500 0.7500 0.5000  2 Cd 2.68
13 Cl 0.2684 0.0000 0.2684  1 Cd 2.48
14 Cl 0.2684 0.2684 0.0000  1 Cd 2.48
15 Cl 0.5000 0.2500 0.7500  2 Cd 2.68
16 Cl 0.5000 0.7500 0.2500  2 Cd 2.68
17 Cl 0.7316 0.0000 0.7316  1 Cd 2.48
18 Cl 0.7316 0.7316 0.0000  1 Cd 2.48
19 Cl 0.7500 0.2500 0.5000  2 Cd 2.68
20 Cl 0.7500 0.5000 0.2500  2 Cd 2.68

The space group is Im-3m. The calculation puts the total moment at 0.00 μB/cell. Its total energy is -2.75 eV/atom. For the formation energy from raw total energies, the calculation gives -0.899 eV/atom.


Entry from the Alexandria database: PmRhF6 after structural relaxation (PBE-GGA).

a b c (Å): 5.3068 5.3068 5.1124
angles (deg): 90.00 90.00 120.00
Last column: nearest neighbours and their distance in Å.
Sites, in units of the cell vectors:
1 Pm 0.0000 0.0000 0.0000  6 F 2.28
2 Rh 0.6667 0.3333 0.5000  6 F 2.01
3 F 0.3612 0.0327 0.7352  1 Rh 2.01
4 F 0.3612 0.3286 0.2648  1 Rh 2.01
5 F 0.6714 0.0327 0.2648  1 Rh 2.01
6 F 0.6714 0.6388 0.7352  1 Rh 2.01
7 F 0.9673 0.3286 0.7352  1 Rh 2.01
8 F 0.9673 0.6388 0.2648  1 Rh 2.01

The space group is P312. The calculation puts the total moment at 0.16 μB/cell. Its total energy is -5.68 eV/atom. Its offset from the most stable computed form is 8 kJ/mol of formula units. For the formation energy from raw total energies, the calculation gives -2.762 eV/atom.


Entry from the Alexandria database: Mn2V5Cr after structural relaxation (PBE-GGA).

a b c (Å): 4.9328 9.6796 4.1877
angles (deg): 90.00 90.00 90.00
Last column: nearest neighbours and their distance in Å.
Sites, in units of the cell vectors:
1 Mn 0.1706 0.1189 0.0000  8 V 2.44-2.57
2 Mn 0.3294 0.6189 0.0000  8 V 2.44-2.57
3 Mn 0.6706 0.3811 0.0000  8 V 2.44-2.57
4 Mn 0.8294 0.8811 0.0000  8 V 2.44-2.57
5 V 0.0000 0.0000 0.5000  2 Cr 2.47, 4 Mn 2.53, 2 V 2.61
6 V 0.1489 0.7414 0.5000  1 Cr 2.45, 5 V 2.47-2.64, 2 Mn 2.57
7 V 0.1662 0.3786 0.0000  4 Mn 2.44-2.51, 2 Cr 2.54, 2 V 2.64
8 V 0.3338 0.8786 0.0000  4 Mn 2.44-2.51, 2 Cr 2.54, 2 V 2.64
9 V 0.3511 0.2414 0.5000  1 Cr 2.45, 5 V 2.47-2.64, 2 Mn 2.57
10 V 0.5000 0.5000 0.5000  2 Cr 2.47, 4 Mn 2.53, 2 V 2.61
11 V 0.6489 0.7586 0.5000  1 Cr 2.45, 5 V 2.47-2.64, 2 Mn 2.57
12 V 0.6662 0.1214 0.0000  4 Mn 2.44-2.51, 2 Cr 2.54, 2 V 2.64
13 V 0.8338 0.6214 0.0000  4 Mn 2.44-2.51, 2 Cr 2.54, 2 V 2.64
14 V 0.8511 0.2586 0.5000  1 Cr 2.45, 5 V 2.47-2.64, 2 Mn 2.57
15 Cr 0.0000 0.5000 0.5000  8 V 2.45-2.54
16 Cr 0.5000 0.0000 0.5000  8 V 2.45-2.54

As for the formation energy: -82 meV/atom. The space group is Pbam. The calculation puts the total moment at 0.00 μB/cell. Its total energy is -9.28 eV/atom.


Entry from the Alexandria database: Na2BAsCl after structural relaxation (PBE-GGA).

a b c (Å): 5.5764 5.5764 3.7693
angles (deg): 90.00 90.00 90.00
Last column: nearest neighbours and their distance in Å.
Sites, in units of the cell vectors:
1 Na 0.0000 0.5000 0.0000  2 B 2.79
2 Na 0.5000 0.0000 0.0000  2 B 2.79
3 B 0.0000 0.0000 0.0000  2 Cl 1.88
4 As 0.5000 0.5000 0.5000  8 Na 3.37
5 Cl 0.0000 0.0000 0.5000  2 B 1.88

The space group is P4/mmm. The calculation puts the total moment at 0.54 μB/cell. Its total energy is -2.55 eV/atom. For the formation energy from raw total energies, the calculation gives 0.609 eV/atom.


Entry from the Alexandria database: FeNiGe2 after structural relaxation (PBE-GGA).

a b c (Å): 4.1351 4.1351 3.0085
angles (deg): 90.00 90.00 90.00
Last column: nearest neighbours and their distance in Å.
Sites, in units of the cell vectors:
1 Fe 0.0000 0.0000 0.0000  8 Ge 2.56
2 Ni 0.5000 0.5000 0.0000  8 Ge 2.56
3 Ge 0.0000 0.5000 0.5000  4 Fe 2.56, 4 Ni 2.56
4 Ge 0.5000 0.0000 0.5000  4 Fe 2.56, 4 Ni 2.56

As for the formation energy: -10 meV/atom. The space group is P4/mmm. The calculation puts the total moment at 1.57 μB/cell. Its total energy is -5.88 eV/atom.


Entry from the Alexandria database: AcTb2Sm after structural relaxation (PBE-GGA).

a b c (Å): 3.7233 3.7233 35.4443
angles (deg): 90.00 90.00 120.00
Last column: nearest neighbours and their distance in Å.
Sites, in units of the cell vectors:
1 Ac 0.0000 0.0000 0.0000  6 Tb 3.72, 6 Ac 3.72
2 Ac 0.3333 0.6667 0.6667  6 Tb 3.72, 6 Ac 3.72
3 Ac 0.6667 0.3333 0.3333  6 Tb 3.72, 6 Ac 3.72
4 Tb 0.0000 0.0000 0.4190  3 Sm 3.60, 3 Ac 3.72, 6 Tb 3.72
5 Tb 0.0000 0.0000 0.5810  3 Sm 3.57, 3 Ac 3.72, 6 Tb 3.72
6 Tb 0.3333 0.6667 0.0857  3 Sm 3.60, 3 Ac 3.72, 6 Tb 3.72
7 Tb 0.3333 0.6667 0.2477  3 Sm 3.57, 3 Ac 3.72, 6 Tb 3.72
8 Tb 0.6667 0.3333 0.7523  3 Sm 3.60, 3 Ac 3.72, 6 Tb 3.72
9 Tb 0.6667 0.3333 0.9143  3 Sm 3.57, 3 Ac 3.72, 6 Tb 3.72
10 Sm 0.0000 0.0000 0.8338  6 Tb 3.57-3.60, 6 Sm 3.72
11 Sm 0.3333 0.6667 0.5005  6 Tb 3.57-3.60, 6 Sm 3.72
12 Sm 0.6667 0.3333 0.1672  6 Tb 3.57-3.60, 6 Sm 3.72

As for the formation energy: 44 meV/atom. The space group is R3m. The calculation puts the total moment at 0.00 μB/cell. Its total energy is -4.48 eV/atom. Its offset from the most stable computed form is 0 kJ/mol of formula units.